PBEsol LiY2Hg, relaxed; space group = P4mm, No. 99; formation energy from the elements = -0.24 eV per atom
1.0
3.685 0.000 0.000
0.000 3.685 0.000
0.000 0.000 7.175
Hg Y Li
1 2 1
Direct
0.000 0.000 0.530
0.000 0.000 0.972
0.500 0.500 0.286
0.500 0.500 0.713

***

PBEsol LiY2Hg, relaxed; space group = Amm2, No. 38; formation energy from the elements = -0.25 eV per atom
1.0
3.466 0.000 -0.020
0.000 4.778 0.000
-1.699 0.000 5.902
Hg Y Li
1 2 1
Direct
0.310 0.000 0.495
0.033 0.000 0.940
0.717 0.500 0.309
0.440 0.500 0.756

***

PBEsol LiYHg2, relaxed; space group = I4/mmm, No. 139; energy above the most stable polymorph in this dataset = 0.000 eV per atom; formation energy from the elements = -0.54 eV per atom
1.0
-4.304 -1.301 -2.039
3.196 -3.479 1.451
-2.408 2.693 3.364
Hg Y Li
2 1 1
Direct
0.750 0.500 0.750
0.250 0.500 0.250
0.000 0.000 0.500
0.500 0.000 0.000

***

PBEsol Li4YHg, relaxed; space group = F-43m, No. 216; formation energy from the elements = -0.14 eV per atom
1.0
5.351 0.000 0.000
2.675 4.634 0.000
2.675 1.545 4.369
Li Hg Y
4 1 1
Direct
0.881 0.373 0.373
0.373 0.373 0.881
0.373 0.881 0.373
0.373 0.373 0.373
0.000 0.000 0.000
0.750 0.750 0.750

***

PBEsol LiY4Hg, relaxed; space group = F-43m, No. 216; formation energy from the elements = 0.36 eV per atom
1.0
-0.690 2.486 -5.697
-4.812 -1.726 -3.603
-4.666 4.011 -1.117
Li Y Hg
1 4 1
Direct
0.000 0.000 0.000
0.376 0.376 0.376
0.376 0.872 0.376
0.376 0.376 0.872
0.872 0.376 0.376
0.750 0.750 0.750

***

PBEsol Li2YHg, relaxed; space group = I4/mmm, No. 139; energy above the most stable polymorph in this dataset = 0.020 eV per atom; formation energy from the elements = -0.24 eV per atom
1.0
4.717 0.000 0.000
-2.359 4.108 0.051
0.000 2.660 3.896
Li Y Hg
2 1 1
Direct
0.750 0.500 0.750
0.250 0.500 0.250
0.500 0.000 0.500
0.000 0.000 0.000